This record from Alexandria describes a relaxed LaPr6Tl2 crystal. The functional is PBE.

```
LaPr6Tl2
1.0
8.1389 -5.9426 0.0000
8.1389 5.9426 0.0000
-0.9526 0.0000 6.1158
La Pr Tl
2 12 4
direct
0.1475 0.8525 0.7500 La
0.8525 0.1475 0.2500 La
0.0014 0.7654 0.1987 Pr
0.1142 0.3642 0.3298 Pr
0.2346 0.9986 0.3013 Pr
0.3281 0.5547 0.4692 Pr
0.3642 0.1142 0.8298 Pr
0.4453 0.6719 0.0308 Pr
0.5547 0.3281 0.9692 Pr
0.6358 0.8858 0.1702 Pr
0.6719 0.4453 0.5308 Pr
0.7654 0.0014 0.6987 Pr
0.8858 0.6358 0.6702 Pr
0.9986 0.2346 0.8013 Pr
0.2075 0.4810 0.8999 Tl
0.4810 0.2075 0.3999 Tl
0.5190 0.7925 0.6001 Tl
0.7925 0.5190 0.1001 Tl
```

Calculated values
**Energy above the most stable polymorph in this dataset**: 22.3 meV/atom
**Formation energy from the elements**: -116 kJ/mol of formula units
**Fermi-level density of states**: 1.347 states/eV/atom
**ρ**: 7821 kg/m3